1.
# PmRhCl (PBE, relaxed)
data_PmRhCl
_chemical_formula_sum 'Pm4 Rh4 Cl4'
_cell_length_a 6.162
_cell_length_b 6.162
_cell_length_c 7.608
_cell_angle_alpha 90.00
_cell_angle_beta 90.08
_cell_angle_gamma 90.00
_space_group_name_H-M_alt 'C 1 2/m 1'
_space_group_IT_number 12
loop_
_space_group_symop_operation_xyz
'x,y,z'
'-x,-y,-z'
'-x,y,-z'
'x,-y,z'
'x+1/2,y+1/2,z'
'-x+1/2,-y+1/2,-z'
'-x+1/2,y+1/2,-z'
'x+1/2,-y+1/2,z'
loop_
_atom_site_label
_atom_site_type_symbol
_atom_site_fract_x
_atom_site_fract_y
_atom_site_fract_z
Pm1 Pm 0.249 0.000 0.243
Rh1 Rh 0.000 0.251 0.000
Cl1 Cl 0.000 0.250 0.500
# relative energy among the computed polymorphs: 305.1 meV/atom
# formation energy (no corrections): -1053 meV/atom

---

2.
# Ti4IrRu2 (PBE, relaxed)
data_Ti4IrRu2
_chemical_formula_sum 'Ti8 Ir2 Ru4'
_cell_length_a 6.099
_cell_length_b 6.099
_cell_length_c 6.161
_cell_angle_alpha 90.00
_cell_angle_beta 90.00
_cell_angle_gamma 90.00
_space_group_name_H-M_alt 'I 4/m m m'
_space_group_IT_number 139
_space_group_name_Hall '-I 4 2'
loop_
_atom_site_label
_atom_site_type_symbol
_atom_site_fract_x
_atom_site_fract_y
_atom_site_fract_z
Ti1 Ti 0.250 0.250 0.250
Ir1 Ir 0.000 0.000 0.000
Ru1 Ru 0.000 0.500 0.000
# ΔE_f: -551 meV per atom

---

Which calculated total energy belongs to each record? In order, -5.702 -8.978 eV per atom.